{
  "formula": "Ba4PAuBr2",
  "functional": "PBE",
  "state": "relaxed",
  "e_form_raw_ev_per_atom": -1.329,
  "spacegroup": "P2/m (10)",
  "e_tot_ev_per_atom": -3.79,
  "total_magnetization_mub_per_fu": 0.6,
  "lattice_angstrom": [[8.2516, 0.0000, 0.0000], [0.0000, 4.6888, 0.0000], [-2.4629, 0.0000, 8.1039]],
  "species": ["Ba", "Ba", "Ba", "Ba", "P", "Au", "Br", "Br"],
  "frac_coords": [[0.2300, 0.0000, 0.2114], [0.2507, 0.5000, 0.7754], [0.7493, 0.5000, 0.2246], [0.7700, 0.0000, 0.7886], [0.0000, 0.5000, 0.0000], [0.5000, 0.0000, 0.0000], [0.0000, 0.0000, 0.5000], [0.5000, 0.5000, 0.5000]]
}